This record from Alexandria via LeMat-Bulk describes a geometry-optimized CrBi structure. The functional is PBE-GGA.

Computed properties:
Total DFT energy (no corrections): -5.9754 eV per atom
DOS(E_F): 4.6 states/eV per cell
Formation energy: 0.78 eV/atom
Symmetry: P4_2/mnm

Lattice parameters (Å, degrees): 6.175 6.175 5.193 90.00 90.00 90.00
Fractional positions:
Cr (0.115, 0.115, 0.000)
Cr (0.385, 0.615, 0.500)
Cr (0.615, 0.385, 0.500)
Cr (0.885, 0.885, 0.000)
Bi (0.201, 0.201, 0.500)
Bi (0.299, 0.701, 0.000)
Bi (0.701, 0.299, 0.000)
Bi (0.799, 0.799, 0.500)

This record from Alexandria via LeMat-Bulk describes a geometry-optimized Nd2RuI structure. The functional is PBE-GGA.

Computed properties:
Total DFT energy (no corrections): -5.6977 eV per atom
DOS(E_F): 7.7 states/eV per cell
Formation energy (no corrections): -607.3 meV per atom
Symmetry: R-3m

Lattice parameters (Å, degrees): 4.166 4.166 24.450 90.00 90.00 120.00
Fractional positions:
Nd (0.000, 0.000, 0.228)
Nd (0.000, 0.000, 0.772)
Nd (0.333, 0.667, 0.438)
Nd (0.333, 0.667, 0.895)
Nd (0.667, 0.333, 0.105)
Nd (0.667, 0.333, 0.562)
Ru (0.000, 0.000, 0.500)
Ru (0.333, 0.667, 0.167)
Ru (0.667, 0.333, 0.833)
I (0.000, 0.000, 0.000)
I (0.333, 0.667, 0.667)
I (0.667, 0.333, 0.333)

This record from Alexandria via LeMat-Bulk describes a geometry-optimized Ta3Ga4 structure. The functional is PBE-GGA.

Computed properties:
Total DFT energy (no corrections): -6.7861 eV per atom
DOS(E_F): 9.9 states/eV per cell
Formation energy: 0.02 eV/atom
Symmetry: I4/mmm

Lattice parameters (Å, degrees): 3.394 3.394 20.891 90.00 90.00 90.00
Fractional positions:
Ta (0.000, 0.000, 0.000)
Ta (0.000, 0.000, 0.282)
Ta (0.000, 0.000, 0.718)
Ta (0.500, 0.500, 0.218)
Ta (0.500, 0.500, 0.500)
Ta (0.500, 0.500, 0.782)
Ga (0.000, 0.000, 0.144)
Ga (0.000, 0.000, 0.421)
Ga (0.000, 0.000, 0.579)
Ga (0.000, 0.000, 0.856)
Ga (0.500, 0.500, 0.079)
Ga (0.500, 0.500, 0.356)
Ga (0.500, 0.500, 0.644)
Ga (0.500, 0.500, 0.921)

| no. | calculated density (g/cm3) |
| --- | --- |
| 1 | 8.754 |
| 2 | 7.000 |
| 3 | 11.338 |